DFT (PBE-GGA) results for a relaxed TbTmAu5 crystal.

The structure belongs to space group C2/c (No. 15); the cell edges are 6.7154, 8.1617 and 11.2076 Å and the angles 90.00°, 106.79° and 90.00°. The distinct sites, in fractional coordinates, are Tb at (0.2500, 0.2500, 0.0000), Tm at (0.0000, 0.1902, 0.2500), Au at (0.0000, 0.1741, 0.7500), Au at (0.1036, 0.4913, 0.6492) and Au at (0.1739, 0.1072, 0.5407).

The formation energy from the elements comes out at -4.639 eV/f.u. The calculation puts the total magnetization at 0.00 μB/f.u. As for the crystal system: monoclinic. The value obtained for the calculated volume is 147 Å³/f.u.